The following is a GGA-PBE calculation of Ti6CrRe5 after structural relaxation, from the Alexandria database.

The structure in extended XYZ format:
```
12
Lattice="6.975 -3.118 0.000 6.975 3.118 0.000 -1.381 0.000 4.174" Properties=species:S:1:pos:R:3 pbc="T T T"
Ti 4.173 1.571 1.386
Ti 6.975 1.584 0.000
Ti 8.396 1.571 2.788
Ti 4.173 -1.571 1.386
Ti 6.975 -1.584 0.000
Ti 8.396 -1.571 2.788
Cr 6.285 0.000 2.087
Re -0.690 0.000 2.087
Re 2.099 0.000 0.697
Re 3.538 0.000 3.490
Re 9.031 0.000 0.683
Re 10.470 0.000 3.477
```

Values from the calculation:
ΔH_f (0 K) = -0.332 eV/atom
Magnetization = 0.195 μB/atom

---

The following is a GGA-PBE calculation of TiCr4Re after structural relaxation, from the Alexandria database.

The structure in extended XYZ format:
```
6
Lattice="0.000 3.391 3.391 3.391 0.000 3.391 3.391 3.391 0.000" Properties=species:S:1:pos:R:3 pbc="T T T"
Ti 0.000 0.000 0.000
Cr 2.542 2.542 2.542
Cr 4.240 4.240 2.542
Cr 4.240 2.542 4.240
Cr 2.542 4.240 4.240
Re 5.087 5.087 5.087
```

Values from the calculation:
ΔH_f (0 K) = -0.061 eV/atom
Magnetization = 0.003 μB/atom

---

The following is a GGA-PBE calculation of TiCr2Re3 after structural relaxation, from the Alexandria database.

The structure in extended XYZ format:
```
6
Lattice="3.027 0.000 0.000 0.000 3.027 0.000 0.000 0.000 9.137" Properties=species:S:1:pos:R:3 pbc="T T T"
Ti 0.000 0.000 0.000
Cr 0.000 0.000 3.068
Cr 0.000 0.000 6.068
Re 1.513 1.513 1.611
Re 1.513 1.513 4.568
Re 1.513 1.513 7.526
```

Values from the calculation:
ΔH_f (0 K) = -0.120 eV/atom
Magnetization = 0.000 μB/atom

---

The following is a GGA-PBE calculation of TiCr4Re5 after structural relaxation, from the Alexandria database.

The structure in extended XYZ format:
```
10
Lattice="3.011 0.000 0.000 0.000 3.011 0.000 0.000 0.000 15.123" Properties=species:S:1:pos:R:3 pbc="T T T"
Ti 0.000 0.000 0.000
Cr 0.000 0.000 3.073
Cr 0.000 0.000 6.068
Cr 0.000 0.000 9.055
Cr 0.000 0.000 12.050
Re 1.506 1.506 1.620
Re 1.506 1.506 4.606
Re 1.506 1.506 7.561
Re 1.506 1.506 10.517
Re 1.506 1.506 13.502
```

Values from the calculation:
ΔH_f (0 K) = -0.053 eV/atom
Magnetization = 0.000 μB/atom

---

The following is a GGA-PBE calculation of Ti3CrRe4 after structural relaxation, from the Alexandria database.

The structure in extended XYZ format:
```
8
Lattice="3.078 0.000 0.000 0.000 3.078 0.000 0.000 0.000 12.419" Properties=species:S:1:pos:R:3 pbc="T T T"
Ti 0.000 0.000 0.000
Ti 0.000 0.000 3.132
Ti 0.000 0.000 9.287
Cr 0.000 0.000 6.209
Re 1.539 1.539 1.593
Re 1.539 1.539 4.761
Re 1.539 1.539 7.657
Re 1.539 1.539 10.826
```

Values from the calculation:
ΔH_f (0 K) = -0.312 eV/atom
Magnetization = 0.000 μB/atom

---

The following is a GGA-PBE calculation of TiCrRe2 after structural relaxation, from the Alexandria database.

The structure in extended XYZ format:
```
8
Lattice="-3.485 3.485 2.579 3.485 -3.485 2.579 3.485 3.485 -2.579" Properties=species:S:1:pos:R:3 pbc="T T T"
Ti 0.000 0.000 0.000
Ti 0.000 3.485 1.290
Cr 3.485 0.000 1.290
Cr 0.000 0.000 2.579
Re 1.742 -1.525 1.934
Re 1.960 1.742 0.645
Re 1.742 5.009 -0.645
Re 1.525 1.742 3.224
```

Values from the calculation:
ΔH_f (0 K) = 0.562 eV/atom
Magnetization = 0.000 μB/atom

---

The following is a GGA-PBE calculation of TiCrRe after structural relaxation, from the Alexandria database.

The structure in extended XYZ format:
```
6
Lattice="2.011 -4.497 0.000 2.011 4.497 0.000 0.000 0.000 5.188" Properties=species:S:1:pos:R:3 pbc="T T T"
Ti 2.011 2.582 3.891
Ti 2.011 -2.582 1.297
Cr 2.011 3.903 1.297
Cr 2.011 -3.903 3.891
Re 2.011 0.000 0.000
Re 2.011 0.000 2.594
```

Values from the calculation:
Energy above the most stable polymorph in this dataset = 323.8 meV per atom
ΔH_f (0 K) = 0.115 eV/atom
Magnetization = 0.000 μB/atom

---

The following is a GGA-PBE calculation of TiCrRe after structural relaxation, from the Alexandria database.

The structure in extended XYZ format:
```
3
Lattice="4.242 0.000 0.000 -2.121 3.674 0.000 0.000 0.000 2.718" Properties=species:S:1:pos:R:3 pbc="T T T"
Ti 0.000 0.000 0.000
Cr 2.121 1.225 0.930
Re 0.000 2.449 1.762
```

Values from the calculation:
Energy above the most stable polymorph in this dataset = 30.5 meV per atom
ΔH_f (0 K) = -0.178 eV/atom
Magnetization = 0.000 μB/atom

---

The following is a GGA-PBE calculation of TiCrRe3 after structural relaxation, from the Alexandria database.

The structure in extended XYZ format:
```
5
Lattice="4.470 0.000 0.000 0.000 4.470 0.000 0.000 0.000 4.470" Properties=species:S:1:pos:R:3 pbc="T T T"
Ti 0.000 0.000 0.000
Cr 2.235 2.235 2.235
Re 0.000 0.000 2.235
Re 0.000 2.235 0.000
Re 2.235 0.000 0.000
```

Values from the calculation:
Energy above the most stable polymorph in this dataset = 883.5 meV per atom
ΔH_f (0 K) = 2.072 eV/atom
Magnetization = 0.000 μB/atom

---

The following is a GGA-PBE calculation of TiCrRe2 after structural relaxation, from the Alexandria database.

The structure in extended XYZ format:
```
4
Lattice="-1.370 2.170 5.339 1.370 -2.170 5.339 1.370 2.170 -5.339" Properties=species:S:1:pos:R:3 pbc="T T T"
Ti 0.000 0.000 0.000
Cr 0.000 0.000 5.339
Re 0.000 0.000 3.068
Re 0.000 0.000 7.610
```

Values from the calculation:
ΔH_f (0 K) = 0.478 eV/atom
Magnetization = 0.000 μB/atom

---

The following is a GGA-PBE calculation of TiCrRe after structural relaxation, from the Alexandria database.

The structure in extended XYZ format:
```
6
Lattice="-2.452 2.580 3.535 2.452 -2.580 3.535 2.452 2.580 -3.535" Properties=species:S:1:pos:R:3 pbc="T T T"
Ti 0.000 1.290 0.883
Ti 2.452 1.290 2.652
Cr 1.226 1.290 -1.768
Cr 1.226 -1.290 1.768
Re 2.452 0.000 0.000
Re 0.000 0.000 3.535
```

Values from the calculation:
Energy above the most stable polymorph in this dataset = 0.0 meV per atom
ΔH_f (0 K) = -0.209 eV/atom
Magnetization = 0.000 μB/atom

---

The following is a GGA-PBE calculation of TiCrRe2 after structural relaxation, from the Alexandria database.

The structure in extended XYZ format:
```
4
Lattice="3.045 0.000 0.000 0.000 3.045 0.000 0.000 0.000 6.143" Properties=species:S:1:pos:R:3 pbc="T T T"
Ti 0.000 0.000 0.000
Cr 0.000 0.000 3.071
Re 1.523 1.523 1.600
Re 1.523 1.523 4.543
```

Values from the calculation:
ΔH_f (0 K) = -0.218 eV/atom
Magnetization = 0.000 μB/atom

---

| no. | N(E_F) (states/eV/cell) |
| --- | --- |
| 1 | 8.201 |
| 2 | 8.260 |
| 3 | 5.086 |
| 4 | 8.378 |
| 5 | 6.813 |
| 6 | 9.967 |
| 7 | 7.801 |
| 8 | 2.536 |
| 9 | 6.940 |
| 10 | 5.140 |
| 11 | 4.629 |
| 12 | 2.520 |